First-principles (GGA+U) data for an optimized crystal structure of RbCo3C4O12, as listed in Alexandria.

Lattice parameters (Å, degrees): 9.6407 9.6407 8.4660 90.00 90.00 120.00
Space group R32 (No. 155, hexagonal axes)
Asymmetric unit:
Rb 0.0000 0.0000 0.0000
Co 0.0000 0.5430 0.0000
C 0.0000 0.0000 0.5000
C 0.0000 0.4564 0.5000
O 0.0000 0.5936 0.5000
O 0.0000 0.8652 0.5000
O 0.0013 0.2078 0.2151

Computed properties:
**Total energy**: -6.91 eV/atom
**Calculated density**: 3.672 Mg/m³